[1]
A plane-wave DFT calculation with meta-GGA SCAN was carried out for a PBEsol-optimized structure of Tl4Cl5.

Cell lengths 7.2718, 8.9213, 8.9213 Å; angles 120.00, 90.00, 90.00 degrees
Last column: nearest neighbours and their distance in Å.
Atoms (fractional coordinates):
Cl 0.7500 0.0000 0.7581  3 Tl 2.82-2.97
Cl 0.7500 0.7581 0.0000  3 Tl 2.82-2.97
Cl 0.7500 0.2419 0.2419  3 Tl 2.82-2.97
Cl 0.2500 0.0000 0.2419  3 Tl 2.82-2.97
Cl 0.2500 0.2419 0.0000  3 Tl 2.82-2.97
Cl 0.2500 0.7581 0.7581  3 Tl 2.82-2.97
Cl 0.0000 0.3333 0.6667  6 Tl 3.22
Cl 0.5000 0.6667 0.3333  6 Tl 3.22
Cl 0.0000 0.6667 0.3333  6 Tl 3.22
Cl 0.5000 0.3333 0.6667  6 Tl 3.22
Tl 0.0000 0.0000 0.0000  6 Cl 2.82
Tl 0.5000 0.0000 0.0000  6 Cl 2.82
Tl 0.7500 0.0000 0.4252  7 Cl 2.97-3.30
Tl 0.7500 0.4252 0.0000  7 Cl 2.97-3.30
Tl 0.7500 0.5748 0.5748  7 Cl 2.97-3.30
Tl 0.2500 0.0000 0.5748  7 Cl 2.97-3.30
Tl 0.2500 0.5748 0.0000  7 Cl 2.97-3.30
Tl 0.2500 0.4252 0.4252  7 Cl 2.97-3.30

Computed properties:
* Fermi-level density of states: 0.290 states/eV/atom
* crystal system: hexagonal
* raw formation energy: -0.935 eV per atom
* calculated density: 6.6 g cm⁻³

[2]
A plane-wave DFT calculation with meta-GGA SCAN was carried out for a PBEsol-optimized structure of Sb3PbO.

Cell lengths 4.8490, 4.8490, 4.8490 Å; angles 90.00, 90.00, 90.00 degrees
Last column: nearest neighbours and their distance in Å.
Atoms (fractional coordinates):
Pb 0.5000 0.5000 0.5000  12 Sb 3.43
Sb 0.0000 0.5000 0.0000  2 O 2.42
Sb 0.0000 0.0000 0.5000  2 O 2.42
Sb 0.5000 0.0000 0.0000  2 O 2.42
O 0.0000 0.0000 0.0000  6 Sb 2.42

Computed properties:
* Fermi-level density of states: 0.424 states/eV/atom
* crystal system: cubic
* raw formation energy: 0.033 eV per atom
* calculated density: 8.6 g cm⁻³